{"formula": "NpNiS2", "functional": "PBE-GGA", "state": "optimized geometry", "lattice": [[3.801, 0.000, 0.000], [1.901, 3.292, 0.000], [1.901, 1.097, 6.550]], "species": ["Np", "Ni", "S", "S"], "frac_coords": [[0.488, 0.488, 0.535], [0.718, 0.718, 0.846], [0.060, 0.060, 0.820], [0.233, 0.233, 0.300]], "rho_g_cm3": 7.29, "e_form_raw_mev_per_atom": -821, "e_above_lowest_polymorph_ev_per_atom": 0.069, "magnetic_moment_mub_per_fu": 3.24, "dos_at_fermi_per_ev_atom": 1.97}